Entry 1:
LiTlGe after structural relaxation, computed with PBE-GGA.

a b c (Å): 3.9294 5.4061 7.2145
angles (deg): 71.94 74.81 89.95
Closest atoms and distances in Å follow each position.
Space group P1 (No. 1)
Asymmetric unit:
Li 0.0000 0.0000 0.0000 [1 per cell]  4 Ge 2.73-2.84, 2 Li 2.98-2.99
Li 0.3671 0.1269 0.2777 [1 per cell]  4 Ge 2.64-2.78, 1 Tl 2.87
Tl 0.1766 0.7360 0.6710 [1 per cell]  2 Li 2.87-3.06, 1 Ge 2.91
Tl 0.7160 0.2853 0.5884 [1 per cell]  3 Ge 3.21-3.35, 4 Li 3.23-3.45, 4 Tl 3.32-3.45
Ge 0.3937 0.6608 0.2211 [1 per cell]  2 Ge 2.54-2.55, 4 Li 2.67-2.79
Ge 0.9504 0.4471 0.1033 [1 per cell]  2 Ge 2.54-2.55, 4 Li 2.64-2.84

Calculated values
D(E_F): 0.22 states/eV/atom
density: 6.7 Mg/m³
E: -3.040 eV per atom
crystal system: triclinic



Entry 2:
LiTlGe after structural relaxation, computed with PBE-GGA.

a b c (Å): 3.9718 5.1263 7.4495
angles (deg): 84.88 74.75 67.31
Closest atoms and distances in Å follow each position.
Space group P-1 (No. 2)
Asymmetric unit:
Li 0.0000 0.0000 0.0000 [1 per cell]  2 Ge 2.83, 4 Tl 2.96-2.98
Li 0.0000 0.5000 0.5000 [1 per cell]  6 Ge 2.80-2.95, 4 Tl 3.08
Tl 0.4097 0.3701 0.8155 [2 per cell]  5 Li 2.96-3.24, 3 Ge 3.07-3.22
Ge 0.2293 0.9332 0.6083 [2 per cell]  2 Ge 2.60-2.61, 2 Li 2.80-2.83

Calculated values
D(E_F): 0.30 states/eV/atom
density: 7.0 Mg/m³
E: -3.069 eV per atom
crystal system: triclinic



Entry 3:
LiTl2Ge after structural relaxation, computed with PBE-GGA.

a b c (Å): 3.4078 3.4078 31.3754
angles (deg): 90.00 90.00 120.00
Closest atoms and distances in Å follow each position.
Space group R-3m (No. 166, hexagonal axes)
Asymmetric unit:
Li 0.0000 0.0000 0.0000 [3 per cell]  2 Tl 2.78
Tl 0.0000 0.0000 0.0885 [6 per cell]  1 Li 2.78
Ge 0.0000 0.0000 0.5000 [3 per cell]  6 Tl 3.14, 6 Ge 3.41

Calculated values
energy relative to the lowest polymorph listed for this composition: 49 kJ/mol of formula units
D(E_F): 0.51 states/eV/atom
density: 7.7 Mg/m³
E: -2.668 eV per atom
crystal system: trigonal



Entry 4:
Li2Tl2Ge after structural relaxation, computed with PBE-GGA.

a b c (Å): 4.0056 4.0056 14.0315
angles (deg): 90.00 90.00 90.00
Closest atoms and distances in Å follow each position.
Space group I4/mmm (No. 139)
Asymmetric unit:
Li 0.0000 0.5000 0.2500 [4 per cell]  4 Li 2.83, 4 Tl 2.86
Tl 0.0000 0.0000 0.1049 [4 per cell]  4 Li 2.86, 1 Tl 2.94, 4 Ge 3.19
Ge 0.0000 0.0000 0.5000 [2 per cell]  8 Tl 3.19

Calculated values
energy relative to the lowest polymorph listed for this composition: 68 kJ/mol of formula units
D(E_F): 0.33 states/eV/atom
density: 7.3 Mg/m³
E: -2.575 eV per atom
crystal system: tetragonal